# KTmCdBr6, optimized geometry, DFT PBE-GGA
data_KTmCdBr6
_cell_length_a 7.2399
_cell_length_b 7.2399
_cell_length_c 14.6030
_cell_angle_alpha 90.00
_cell_angle_beta 90.00
_cell_angle_gamma 120.00
_symmetry_space_group_name_H-M 'P -3 1 c'
_symmetry_Int_Tables_number 163
_symmetry_space_group_name_Hall '-P 3 2c'
loop_
_atom_site_label
_atom_site_type_symbol
_atom_site_fract_x
_atom_site_fract_y
_atom_site_fract_z
K1 K 0.0000 0.0000 0.0000
Tm1 Tm 0.3333 0.6667 0.2500
Cd1 Cd 0.3333 0.6667 0.7500
Br1 Br 0.0043 0.3730 0.1394
# Formation energy without anion corrections ... -1515 meV per atom
# D(E_F) ... 0.000 states/eV/atom
# E_tot ... -3.350 eV/atom


# CoMo3, optimized geometry, DFT PBE-GGA
data_CoMo3
_cell_length_a 2.7465
_cell_length_b 2.7465
_cell_length_c 9.0420
_cell_angle_alpha 90.00
_cell_angle_beta 90.00
_cell_angle_gamma 120.00
_symmetry_space_group_name_H-M 'P -6 m 2'
_symmetry_Int_Tables_number 187
_symmetry_space_group_name_Hall 'P -6 2'
loop_
_atom_site_label
_atom_site_type_symbol
_atom_site_fract_x
_atom_site_fract_y
_atom_site_fract_z
Co1 Co 0.0000 0.0000 0.0000
Mo1 Mo 0.0000 0.0000 0.5000
Mo2 Mo 0.3333 0.6667 0.2282
# D(E_F) ... 1.374 states/eV/atom
# E_tot ... -9.591 eV/atom


# Tl2Ge2Se3, optimized geometry, DFT PBE-GGA
data_Tl2Ge2Se3
_cell_length_a 12.546
_cell_length_b 5.617
_cell_length_c 6.901
_cell_angle_alpha 90.00
_cell_angle_beta 122.72
_cell_angle_gamma 90.00
_symmetry_space_group_name_H-M 'C 1 2/m 1'
_symmetry_Int_Tables_number 12
loop_
_symmetry_equiv_pos_as_xyz
'x,y,z'
'-x,-y,-z'
'-x,y,-z'
'x,-y,z'
'x+1/2,y+1/2,z'
'-x+1/2,-y+1/2,-z'
'-x+1/2,y+1/2,-z'
'x+1/2,-y+1/2,z'
loop_
_atom_site_label
_atom_site_type_symbol
_atom_site_fract_x
_atom_site_fract_y
_atom_site_fract_z
Tl1 Tl 0.133 0.000 0.464
Ge1 Ge 0.141 0.500 0.947
Se1 Se 0.000 0.500 0.500
Se2 Se 0.147 0.000 0.004
# Formation energy without anion corrections ... -247 meV per atom
# D(E_F) ... 0.036 states/eV/atom
# E_tot ... -3.735 eV/atom


Please write out number 1 again, unchanged.
# KTmCdBr6, optimized geometry, DFT PBE-GGA
data_KTmCdBr6
_cell_length_a 7.2399
_cell_length_b 7.2399
_cell_length_c 14.6030
_cell_angle_alpha 90.00
_cell_angle_beta 90.00
_cell_angle_gamma 120.00
_symmetry_space_group_name_H-M 'P -3 1 c'
_symmetry_Int_Tables_number 163
_symmetry_space_group_name_Hall '-P 3 2c'
loop_
_atom_site_label
_atom_site_type_symbol
_atom_site_fract_x
_atom_site_fract_y
_atom_site_fract_z
K1 K 0.0000 0.0000 0.0000
Tm1 Tm 0.3333 0.6667 0.2500
Cd1 Cd 0.3333 0.6667 0.7500
Br1 Br 0.0043 0.3730 0.1394
# Formation energy without anion corrections ... -1515 meV per atom
# D(E_F) ... 0.000 states/eV/atom
# E_tot ... -3.350 eV/atom


Q: The lowest D(E_F) belongs to which entry?
A: KTmCdBr6


Q: The highest D(E_F) belongs to which entry?
A: CoMo3